[1]
SiIr2W: optimized geometry, PBE.

Summary:
* ρ: 17.1 g/cm³
* uncorrected energy: -9.1462 eV per atom
* raw formation energy: -0.1216 eV per atom

a = 3.8534 Å, b = 3.8534 Å, c = 7.7872 Å
α = 90.00°, β = 90.00°, γ = 90.00°
Last column: nearest neighbours and their distance in Å.
Space group I-4m2 (No. 119)
Inequivalent atoms, fractional coordinates:
Si1 0.0000 0.0000 0.0000 x2  8 Ir 2.72-2.74, 4 W 2.74
Ir1 0.0000 0.0000 0.5000 x2  4 Si 2.72, 4 W 2.74, 4 Ir 2.74
Ir2 0.0000 0.5000 0.2500 x2  4 W 2.72, 4 Ir 2.74, 4 Si 2.74
W1 0.0000 0.5000 0.7500 x2  8 Ir 2.72-2.74, 4 Si 2.74

---

[2]
SiIr2W: optimized geometry, PBE.

Summary:
* ρ: 11.9 g/cm³
* uncorrected energy: -8.6749 eV per atom
* raw formation energy: 0.3496 eV per atom

a = 5.4619 Å, b = 5.4619 Å, c = 11.1929 Å
α = 90.00°, β = 90.00°, γ = 90.00°
Last column: nearest neighbours and their distance in Å.
Space group I-42d (No. 122)
Inequivalent atoms, fractional coordinates:
Si1 0.0000 0.0000 0.0000 x4  4 Ir 2.33
Ir1 0.2306 0.2500 0.1250 x8  2 Si 2.33, 2 W 2.45
W1 0.0000 0.0000 0.5000 x4  4 Ir 2.45

---

[3]
Si3IrW: optimized geometry, PBE.

Summary:
* ρ: 8.1 g/cm³
* uncorrected energy: -6.3261 eV per atom
* raw formation energy: 1.2906 eV per atom

a = 4.5552 Å, b = 4.5552 Å, c = 4.5552 Å
α = 90.00°, β = 90.00°, γ = 90.00°
Last column: nearest neighbours and their distance in Å.
Space group Pm-3m (No. 221)
Inequivalent atoms, fractional coordinates:
Si1 0.0000 0.0000 0.5000 x3  2 Ir 2.28
Ir1 0.0000 0.0000 0.0000 x1  6 Si 2.28
W1 0.5000 0.5000 0.5000 x1  12 Si 3.22

---

[4]
SiIrW2: optimized geometry, PBE.

Summary:
* ρ: 16.3 g/cm³
* uncorrected energy: -9.9986 eV per atom
* raw formation energy: 0.0490 eV per atom

a = 3.8673 Å, b = 3.8673 Å, c = 8.0022 Å
α = 90.00°, β = 90.00°, γ = 90.00°
Last column: nearest neighbours and their distance in Å.
Space group I-4m2 (No. 119)
Inequivalent atoms, fractional coordinates:
Si1 0.0000 0.0000 0.0000 x2  8 W 2.73-2.78, 4 Ir 2.78
Ir1 0.0000 0.5000 0.2500 x2  8 W 2.73-2.78, 4 Si 2.78
W1 0.0000 0.0000 0.5000 x2  4 Si 2.73, 4 W 2.78, 4 Ir 2.78
W2 0.0000 0.5000 0.7500 x2  4 Ir 2.73, 4 W 2.78, 4 Si 2.78

---

[5]
SiIrW3: optimized geometry, PBE.

Summary:
* excess energy over the best structure of this formula in the dataset: 786 meV/atom
* ρ: 12.0 g/cm³
* uncorrected energy: -8.5293 eV per atom
* raw formation energy: 2.0994 eV per atom

a = 4.7511 Å, b = 4.7511 Å, c = 4.7511 Å
α = 90.00°, β = 90.00°, γ = 90.00°
Last column: nearest neighbours and their distance in Å.
Space group Pm-3m (No. 221)
Inequivalent atoms, fractional coordinates:
Si1 0.0000 0.0000 0.0000 x1  12 W 3.36
Ir1 0.5000 0.5000 0.5000 x1  6 W 2.38
W1 0.0000 0.5000 0.5000 x3  2 Ir 2.38

---

[6]
SiIrW: optimized geometry, PBE.

Summary:
* excess energy over the best structure of this formula in the dataset: 0 meV/atom
* ρ: 15.6 g/cm³
* uncorrected energy: -9.3644 eV per atom
* raw formation energy: -0.2853 eV per atom

a = 4.2250 Å, b = 4.2250 Å, c = 2.7872 Å
α = 90.00°, β = 90.00°, γ = 120.00°
Last column: nearest neighbours and their distance in Å.
Space group P-6m2 (No. 187)
Inequivalent atoms, fractional coordinates:
Si1 0.0000 0.0000 0.0000 x1  3 Ir 2.44
Ir1 0.6667 0.3333 0.0000 x1  3 Si 2.44
W1 0.3333 0.6667 0.5000 x1  2 W 2.79, 6 Si 2.81, 6 Ir 2.81

---

[7]
Si2Ir2W: optimized geometry, PBE.

Summary:
* ρ: 14.9 g/cm³
* uncorrected energy: -8.6104 eV per atom
* raw formation energy: -0.3062 eV per atom

a = 7.1173 Å, b = 7.1173 Å, c = 2.7548 Å
α = 90.00°, β = 90.00°, γ = 90.00°
Last column: nearest neighbours and their distance in Å.
Space group P4/mbm (No. 127)
Inequivalent atoms, fractional coordinates:
Si1 0.1498 0.3502 0.0000 x4  6 Ir 2.44-2.54, 2 W 2.71
Ir1 0.1505 0.6505 0.5000 x4  6 Si 2.44-2.54
W1 0.0000 0.0000 0.0000 x2  4 Si 2.71, 2 W 2.75

---

[8]
SiIrW: optimized geometry, PBE.

Summary:
* excess energy over the best structure of this formula in the dataset: 140 meV/atom
* ρ: 13.2 g/cm³
* uncorrected energy: -9.2240 eV per atom
* raw formation energy: -0.1449 eV per atom

a = 5.8748 Å, b = 5.8748 Å, c = 5.8748 Å
α = 90.00°, β = 90.00°, γ = 90.00°
Last column: nearest neighbours and their distance in Å.
Space group F-43m (No. 216)
Inequivalent atoms, fractional coordinates:
Si1 0.0000 0.0000 0.0000 x4  4 Ir 2.54
Ir1 0.2500 0.2500 0.2500 x4  4 W 2.54, 4 Si 2.54
W1 0.0000 0.0000 0.5000 x4  4 Ir 2.54